The following is a DFT calculation (GGA+U) of crystalline Fe4O7F at its relaxed geometry.

Cell and atoms, written as CIF:
```
data_Fe4O7F
_chemical_formula_sum 'Fe8 O14 F2'
_cell_length_a 9.258
_cell_length_b 6.016
_cell_length_c 4.631
_cell_angle_alpha 90.00
_cell_angle_beta 92.12
_cell_angle_gamma 90.00
_space_group_name_H-M_alt 'C 1 m 1'
_space_group_IT_number 8
_space_group_name_Hall 'C -2y'
loop_
_atom_site_label
_atom_site_fract_x
_atom_site_fract_y
_atom_site_fract_z
_atom_site_occupancy
Fe1 0.000 0.000 0.000 1
Fe2 0.011 0.500 0.982 1
Fe3 0.262 0.255 0.478 1
O1 0.105 0.249 0.178 1
O2 0.167 0.500 0.673 1
O3 0.351 0.000 0.301 1
O4 0.357 0.500 0.289 1
O5 0.412 0.247 0.793 1
F1 0.156 0.000 0.684 1
```

## Properties
E above lowest polymorph = 10 meV/atom
Final energy = -6.127 eV/atom